A geometry-optimized KZrMnSe3 structure, computed with PBE.

Results
Total magnetization   4.005 μB per formula unit
SG   P2_1/m, No. 11
Raw formation energy   -1.0849 eV/atom
Crystal system   monoclinic

Cell lengths 8.9311, 3.9658, 9.6741 Å; angles 90.00, 111.74, 90.00 degrees
Closest atoms and distances in Å follow each position.
Element x y z (fractional)
K 0.2124 0.2500 0.2477  7 Se 3.32-3.47
K 0.7876 0.7500 0.7523  7 Se 3.32-3.47
Zr 0.3295 0.7500 0.8518  6 Se 2.75-2.77
Zr 0.6705 0.2500 0.1482  6 Se 2.75-2.77
Mn 0.0860 0.2500 0.6118  4 Se 2.44-2.58
Mn 0.9140 0.7500 0.3882  4 Se 2.44-2.58
Se 0.1231 0.2500 0.8747  1 Mn 2.44
Se 0.2189 0.7500 0.5441  3 Mn 2.52-2.58, 1 Zr 2.77
Se 0.4605 0.7500 0.1573  3 Zr 2.75
Se 0.5395 0.2500 0.8427  3 Zr 2.75
Se 0.7811 0.2500 0.4559  3 Mn 2.52-2.58, 1 Zr 2.77
Se 0.8769 0.7500 0.1253  1 Mn 2.44